## YCdNi2 (PBE)

Data for crystalline YCdNi2 at its relaxed geometry.

```
data_YCdNi2
_cell_length_a 6.528
_cell_length_b 6.528
_cell_length_c 6.528
_cell_angle_alpha 90.00
_cell_angle_beta 90.00
_cell_angle_gamma 90.00
_symmetry_space_group_name_H-M 'F -4 3 m'
_symmetry_Int_Tables_number 216
_symmetry_space_group_name_Hall 'F -4 2 3'
loop_
_atom_site_label
_atom_site_fract_x
_atom_site_fract_y
_atom_site_fract_z
Y1 0.000 0.000 0.000
Cd1 0.250 0.250 0.250
Ni1 0.000 0.000 0.500
Ni2 0.250 0.250 0.750
```

Results
- electronic total energy (eV per atom) = -4.623
- spin magnetization (μB per formula unit) = 0.01